No. 1
# La2ZnCl PBE optimized geometry
data_La2ZnCl
_chemical_formula_sum 'La4 Zn2 Cl2'
_cell_length_a 5.0340
_cell_length_b 3.6022
_cell_length_c 11.8259
_cell_angle_alpha 90.00
_cell_angle_beta 90.00
_cell_angle_gamma 90.00
_symmetry_space_group_name_H-M 'A m m 2'
_symmetry_Int_Tables_number 38
loop_
_symmetry_equiv_pos_as_xyz
'x,y,z'
'-x,-y,z'
'-x,y,z'
'x,-y,z'
'x,y+1/2,z+1/2'
'-x,-y+1/2,z+1/2'
'-x,y+1/2,z+1/2'
'x,-y+1/2,z+1/2'
loop_
_atom_site_label
_atom_site_type_symbol
_atom_site_fract_x
_atom_site_fract_y
_atom_site_fract_z
La1 La 0.0000 0.0000 0.0000
La2 La 0.5000 0.0000 0.2549
Zn1 Zn 0.5000 0.0000 0.5139
Cl1 Cl 0.0000 0.0000 0.7505
# - N(E_F) (states/eV/atom) = 0.80
# - uncorrected formation energy (eV per atom) = -0.825
# - offset from the most stable computed form (eV per atom) = 0.106
# - spin magnetization (μB per cell) = 0.0

No. 2
# LaSb2Mo PBE optimized geometry
data_LaSb2Mo
_chemical_formula_sum 'La2 Sb4 Mo2'
_cell_length_a 5.1893
_cell_length_b 3.9038
_cell_length_c 11.0622
_cell_angle_alpha 90.00
_cell_angle_beta 90.00
_cell_angle_gamma 90.00
_symmetry_space_group_name_H-M 'A m m 2'
_symmetry_Int_Tables_number 38
loop_
_symmetry_equiv_pos_as_xyz
'x,y,z'
'-x,-y,z'
'-x,y,z'
'x,-y,z'
'x,y+1/2,z+1/2'
'-x,-y+1/2,z+1/2'
'-x,y+1/2,z+1/2'
'x,-y+1/2,z+1/2'
loop_
_atom_site_label
_atom_site_type_symbol
_atom_site_fract_x
_atom_site_fract_y
_atom_site_fract_z
La1 La 0.0000 0.0000 0.0000
Sb1 Sb 0.0000 0.0000 0.7224
Sb2 Sb 0.5000 0.0000 0.4208
Mo1 Mo 0.5000 0.0000 0.7422
# - N(E_F) (states/eV/atom) = 0.67
# - uncorrected formation energy (eV per atom) = -0.113
# - offset from the most stable computed form (eV per atom) = 0.180
# - spin magnetization (μB per cell) = 0.0

No. 3
# Pu3S2N PBE optimized geometry
data_Pu3S2N
_chemical_formula_sum 'Pu6 S4 N2'
_cell_length_a 5.4272
_cell_length_b 12.8460
_cell_length_c 3.7211
_cell_angle_alpha 90.00
_cell_angle_beta 90.00
_cell_angle_gamma 90.00
_symmetry_space_group_name_H-M 'C m m m'
_symmetry_Int_Tables_number 65
_symmetry_space_group_name_Hall '-C 2 2'
loop_
_atom_site_label
_atom_site_type_symbol
_atom_site_fract_x
_atom_site_fract_y
_atom_site_fract_z
Pu1 Pu 0.0000 0.0000 0.0000
Pu2 Pu 0.0000 0.3736 0.5000
S1 S 0.0000 0.1573 0.5000
N1 N 0.0000 0.5000 0.0000
# - N(E_F) (states/eV/atom) = 3.41
# - uncorrected formation energy (eV per atom) = -1.351
# - spin magnetization (μB per cell) = 33.4

No. 4
# Ti3Tc2Rh PBE optimized geometry
data_Ti3Tc2Rh
_chemical_formula_sum 'Ti3 Tc2 Rh1'
_cell_length_a 3.1042
_cell_length_b 3.1042
_cell_length_c 9.3113
_cell_angle_alpha 90.00
_cell_angle_beta 90.00
_cell_angle_gamma 90.00
_symmetry_space_group_name_H-M 'P 4/m m m'
_symmetry_Int_Tables_number 123
_symmetry_space_group_name_Hall '-P 4 2'
loop_
_atom_site_label
_atom_site_type_symbol
_atom_site_fract_x
_atom_site_fract_y
_atom_site_fract_z
Ti1 Ti 0.0000 0.0000 0.0000
Ti2 Ti 0.0000 0.0000 0.3261
Tc1 Tc 0.5000 0.5000 0.1688
Rh1 Rh 0.5000 0.5000 0.5000
# - N(E_F) (states/eV/atom) = 0.47
# - formation enthalpy at 0 K (eV/atom) = -0.67
# - spin magnetization (μB per cell) = 0.0

Which of these has the lowest N(E_F)?
Ti3Tc2Rh